Entry 1:
Entry from Alexandria via LeMat-Bulk: Li3TaPd after structural relaxation (PBE-GGA).

Results
Polymorph energy (0 for the lowest one): 0.000 eV/atom
Calculated density: 6.2 g/cm³
Formation energy from the elements: 0.82 eV/atom
Symmetry: No. 221
E_tot: -3.740 eV/atom

```
Li3TaPd
1.0
4.359 0.000 0.000
0.000 4.359 0.000
0.000 0.000 4.359
Li Ta Pd
3 1 1
direct
0.000 0.000 0.500 Li
0.000 0.500 0.000 Li
0.500 0.000 0.000 Li
0.500 0.500 0.500 Ta
0.000 0.000 0.000 Pd
```


Entry 2:
Entry from Alexandria via LeMat-Bulk: BeSbH after structural relaxation (PBE-GGA).

Results
Polymorph energy (0 for the lowest one): 0.071 eV/atom
Calculated density: 3.8 g/cm³
Symmetry: No. 10
E_tot: -3.635 eV/atom

```
BeSbH
1.0
4.469 0.000 0.000
0.000 5.763 0.000
-0.285 0.000 4.484
Be Sb H
2 2 2
direct
0.000 0.170 0.000 Be
0.000 0.830 0.000 Be
0.228 0.500 0.287 Sb
0.772 0.500 0.713 Sb
0.178 0.000 0.845 H
0.822 0.000 0.155 H
```


Entry 3:
Entry from Alexandria via LeMat-Bulk: SbIrPd2 after structural relaxation (PBE-GGA).

Results
Calculated density: 12.3 g/cm³
Symmetry: No. 122
E_tot: -5.770 eV/atom

```
SbIrPd2
1.0
3.856 0.000 0.000
0.000 3.856 0.000
0.000 0.000 19.164
Sb Ir Pd
4 4 8
direct
0.000 0.000 0.000 Sb
0.000 0.500 0.250 Sb
0.500 0.000 0.750 Sb
0.500 0.500 0.500 Sb
0.000 0.000 0.500 Ir
0.000 0.500 0.750 Ir
0.500 0.000 0.250 Ir
0.500 0.500 0.000 Ir
0.244 0.250 0.625 Pd
0.250 0.744 0.875 Pd
0.250 0.756 0.375 Pd
0.256 0.250 0.125 Pd
0.744 0.750 0.125 Pd
0.750 0.244 0.375 Pd
0.750 0.256 0.875 Pd
0.756 0.750 0.625 Pd
```


Entry 4:
Entry from Alexandria via LeMat-Bulk: NbHg3Se2F6 after structural relaxation (PBE-GGA).

Results
Calculated density: 5.7 g/cm³
Symmetry: No. 12
E_tot: -4.230 eV/atom

```
NbHg3Se2F6
1.0
7.602 -3.763 0.000
7.602 3.763 0.000
-1.244 0.000 4.923
Nb Hg Se F
1 3 2 6
direct
0.000 0.000 0.000 Nb
0.000 0.500 0.000 Hg
0.500 0.000 0.000 Hg
0.500 0.500 0.500 Hg
0.312 0.312 0.329 Se
0.688 0.688 0.671 Se
0.090 0.090 0.784 F
0.115 0.746 0.774 F
0.254 0.885 0.226 F
0.746 0.115 0.774 F
0.885 0.254 0.226 F
0.910 0.910 0.216 F
```


Entry 5:
Entry from Alexandria via LeMat-Bulk: Sr2Sb4Ir3Pt after structural relaxation (PBE-GGA).

Results
Calculated density: 10.4 g/cm³
Symmetry: No. 115
E_tot: -5.814 eV/atom

```
Sr2Sb4Ir3Pt
1.0
4.678 0.000 0.000
0.000 4.678 0.000
0.000 0.000 10.480
Sr Sb Ir Pt
2 4 3 1
direct
0.000 0.500 0.248 Sr
0.500 0.000 0.752 Sr
0.000 0.000 0.500 Sb
0.000 0.500 0.871 Sb
0.500 0.000 0.129 Sb
0.500 0.500 0.500 Sb
0.000 0.000 0.000 Ir
0.000 0.500 0.621 Ir
0.500 0.000 0.379 Ir
0.500 0.500 0.000 Pt
```


Entry 6:
Entry from Alexandria via LeMat-Bulk: Sc2VMo after structural relaxation (PBE-GGA).

Results
Polymorph energy (0 for the lowest one): 0.261 eV/atom
Calculated density: 5.2 g/cm³
Formation energy from the elements: 0.56 eV/atom
Symmetry: No. 166
E_tot: -7.590 eV/atom

```
Sc2VMo
1.0
2.959 0.000 0.000
-1.480 2.563 0.000
0.000 0.000 30.076
Sc V Mo
6 3 3
direct
0.000 0.000 0.089 Sc
0.000 0.000 0.911 Sc
0.333 0.667 0.578 Sc
0.333 0.667 0.755 Sc
0.667 0.333 0.245 Sc
0.667 0.333 0.422 Sc
0.000 0.000 0.000 V
0.333 0.667 0.667 V
0.667 0.333 0.333 V
0.000 0.000 0.500 Mo
0.333 0.667 0.167 Mo
0.667 0.333 0.833 Mo
```


Entry 7:
Entry from Alexandria via LeMat-Bulk: PmSiSe after structural relaxation (PBE-GGA).

Results
Calculated density: 4.9 g/cm³
Symmetry: No. 166
E_tot: -5.574 eV/atom

```
PmSiSe
1.0
2.056 1.187 11.622
-2.056 1.187 11.622
0.000 -2.374 11.622
Pm Si Se
2 2 2
direct
0.069 0.069 0.069 Pm
0.931 0.931 0.931 Pm
0.342 0.342 0.342 Si
0.658 0.658 0.658 Si
0.220 0.220 0.220 Se
0.780 0.780 0.780 Se
```


Entry 8:
Entry from Alexandria via LeMat-Bulk: AgSnBr3 after structural relaxation (PBE-GGA).

Results
Calculated density: 4.4 g/cm³
Symmetry: No. 11
E_tot: -2.959 eV/atom

```
AgSnBr3
1.0
7.699 0.000 0.000
0.000 4.448 0.000
-0.113 0.000 10.340
Ag Sn Br
2 2 6
direct
0.125 0.250 0.387 Ag
0.875 0.750 0.613 Ag
0.402 0.250 0.831 Sn
0.598 0.750 0.169 Sn
0.070 0.250 0.660 Br
0.276 0.750 0.013 Br
0.462 0.250 0.332 Br
0.538 0.750 0.668 Br
0.724 0.250 0.987 Br
0.930 0.750 0.340 Br
```


Entry 9:
Entry from Alexandria via LeMat-Bulk: YZnCr2 after structural relaxation (PBE-GGA).

Results
Calculated density: 5.9 g/cm³
Formation energy from the elements: 0.39 eV/atom
Symmetry: No. 12
E_tot: -6.361 eV/atom

```
YZnCr2
1.0
8.973 0.000 0.000
0.000 3.322 0.000
-1.639 0.000 4.851
Y Zn Cr
2 2 4
direct
0.000 0.000 0.000 Y
0.500 0.500 0.000 Y
0.000 0.500 0.500 Zn
0.500 0.000 0.500 Zn
0.231 0.000 0.627 Cr
0.269 0.500 0.373 Cr
0.731 0.500 0.627 Cr
0.769 0.000 0.373 Cr
```


Entry 10:
Entry from Alexandria via LeMat-Bulk: RbTe2SeS2 after structural relaxation (PBE-GGA).

Results
Calculated density: 3.4 g/cm³
Symmetry: No. 11
E_tot: -3.398 eV/atom

```
RbTe2SeS2
1.0
6.836 0.000 0.000
0.000 9.334 0.000
-3.309 0.000 7.357
Rb Te Se S
2 4 2 4
direct
0.042 0.250 0.134 Rb
0.958 0.750 0.866 Rb
0.456 0.542 0.310 Te
0.456 0.958 0.310 Te
0.544 0.042 0.690 Te
0.544 0.458 0.690 Te
0.431 0.250 0.931 Se
0.569 0.750 0.069 Se
0.240 0.750 0.333 S
0.388 0.750 0.770 S
0.612 0.250 0.230 S
0.760 0.250 0.667 S
```


Entry 11:
Entry from Alexandria via LeMat-Bulk: Sr3Th2PaAs6 after structural relaxation (PBE-GGA).

Results
Calculated density: 6.7 g/cm³
Formation energy from the elements: -1.29 eV/atom
Symmetry: No. 12
E_tot: -6.063 eV/atom

```
Sr3Th2PaAs6
1.0
3.742 -6.481 0.000
3.742 6.481 0.000
-2.497 0.000 7.166
Sr Th Pa As
3 2 1 6
direct
0.000 0.000 0.000 Sr
0.331 0.669 0.000 Sr
0.669 0.331 0.000 Sr
0.166 0.834 0.500 Th
0.834 0.166 0.500 Th
0.500 0.500 0.500 Pa
0.102 0.426 0.276 As
0.252 0.252 0.724 As
0.426 0.102 0.276 As
0.574 0.898 0.724 As
0.748 0.748 0.276 As
0.898 0.574 0.724 As
```


Entry 12:
Entry from Alexandria via LeMat-Bulk: V8Cr2Fe3 after structural relaxation (PBE-GGA).

Results
Calculated density: 6.6 g/cm³
Formation energy from the elements: 0.30 eV/atom
Symmetry: No. 12
E_tot: -8.741 eV/atom

```
V8Cr2Fe3
1.0
5.537 -3.152 0.000
5.537 3.152 0.000
-0.520 0.000 4.888
V Cr Fe
8 2 3
direct
0.070 0.697 0.076 V
0.105 0.105 0.416 V
0.303 0.930 0.924 V
0.313 0.313 0.716 V
0.687 0.687 0.284 V
0.697 0.070 0.076 V
0.895 0.895 0.584 V
0.930 0.303 0.924 V
0.298 0.298 0.237 Cr
0.702 0.702 0.763 Cr
0.311 0.689 0.500 Fe
0.500 0.500 0.000 Fe
0.689 0.311 0.500 Fe
```


Entry 13:
Entry from Alexandria via LeMat-Bulk: Ti6FeNi3 after structural relaxation (PBE-GGA).

Results
Polymorph energy (0 for the lowest one): 0.094 eV/atom
Calculated density: 6.0 g/cm³
Formation energy from the elements: -0.17 eV/atom
Symmetry: No. 12
E_tot: -7.490 eV/atom

```
Ti6FeNi3
1.0
4.206 -2.666 0.000
4.206 2.666 0.000
-2.299 0.000 6.419
Ti Fe Ni
6 1 3
direct
0.099 0.605 0.703 Ti
0.345 0.345 0.071 Ti
0.395 0.901 0.297 Ti
0.605 0.099 0.703 Ti
0.655 0.655 0.929 Ti
0.901 0.395 0.297 Ti
0.000 0.000 0.000 Fe
0.102 0.102 0.680 Ni
0.500 0.500 0.500 Ni
0.898 0.898 0.320 Ni
```


Entry 14:
Entry from Alexandria via LeMat-Bulk: CoReTc2 after structural relaxation (PBE-GGA).

Results
Polymorph energy (0 for the lowest one): 0.083 eV/atom
Calculated density: 13.2 g/cm³
Formation energy from the elements: 0.11 eV/atom
Symmetry: No. 160
E_tot: -9.960 eV/atom

```
CoReTc2
1.0
2.710 0.000 0.000
-1.355 2.347 0.000
0.000 0.000 26.087
Co Re Tc
3 3 6
direct
0.000 0.000 0.000 Co
0.333 0.667 0.667 Co
0.667 0.333 0.333 Co
0.000 0.000 0.746 Re
0.333 0.667 0.413 Re
0.667 0.333 0.080 Re
0.000 0.000 0.252 Tc
0.000 0.000 0.501 Tc
0.333 0.667 0.167 Tc
0.333 0.667 0.919 Tc
0.667 0.333 0.586 Tc
0.667 0.333 0.834 Tc
```


Entry 15:
Entry from Alexandria via LeMat-Bulk: Pu2HSe after structural relaxation (PBE-GGA).

Results
Polymorph energy (0 for the lowest one): 0.034 eV/atom
Calculated density: 11.1 g/cm³
Symmetry: No. 13
E_tot: -9.578 eV/atom

```
Pu2HSe
1.0
5.838 0.000 0.000
0.000 5.835 0.000
-5.696 0.000 9.952
Pu H Se
8 4 4
direct
0.077 0.250 0.083 Pu
0.077 0.750 0.583 Pu
0.330 0.246 0.833 Pu
0.330 0.754 0.333 Pu
0.670 0.246 0.667 Pu
0.670 0.754 0.167 Pu
0.923 0.250 0.417 Pu
0.923 0.750 0.917 Pu
0.002 0.121 0.875 H
0.002 0.879 0.375 H
0.998 0.121 0.625 H
0.998 0.879 0.125 H
0.381 0.256 0.375 Se
0.381 0.744 0.875 Se
0.619 0.256 0.125 Se
0.619 0.744 0.625 Se
```


Entry 16:
Entry from Alexandria via LeMat-Bulk: K2AlIn after structural relaxation (PBE-GGA).

Results
Polymorph energy (0 for the lowest one): 0.316 eV/atom
Calculated density: 2.7 g/cm³
Formation energy from the elements: 0.33 eV/atom
Symmetry: No. 166
E_tot: -1.841 eV/atom

```
K2AlIn
1.0
3.627 0.000 0.000
-1.814 3.141 0.000
0.000 0.000 36.066
K Al In
6 3 3
direct
0.000 0.000 0.248 K
0.000 0.000 0.752 K
0.333 0.667 0.419 K
0.333 0.667 0.915 K
0.667 0.333 0.085 K
0.667 0.333 0.581 K
0.000 0.000 0.500 Al
0.333 0.667 0.167 Al
0.667 0.333 0.833 Al
0.000 0.000 0.000 In
0.333 0.667 0.667 In
0.667 0.333 0.333 In
```


Entry 17:
Entry from Alexandria via LeMat-Bulk: Dy2SnSe after structural relaxation (PBE-GGA).

Results
Polymorph energy (0 for the lowest one): 0.000 eV/atom
Calculated density: 8.0 g/cm³
Symmetry: No. 53
E_tot: -5.421 eV/atom

```
Dy2SnSe
1.0
6.021 0.000 0.000
0.000 6.020 0.000
0.000 0.000 12.004
Dy Sn Se
8 4 4
direct
0.000 0.249 0.130 Dy
0.000 0.250 0.620 Dy
0.000 0.750 0.380 Dy
0.000 0.751 0.870 Dy
0.500 0.249 0.370 Dy
0.500 0.250 0.880 Dy
0.500 0.750 0.120 Dy
0.500 0.751 0.630 Dy
0.000 0.251 0.875 Sn
0.000 0.749 0.125 Sn
0.500 0.251 0.625 Sn
0.500 0.749 0.375 Sn
0.000 0.249 0.375 Se
0.000 0.751 0.625 Se
0.500 0.249 0.125 Se
0.500 0.751 0.875 Se
```


Entry 18:
Entry from Alexandria via LeMat-Bulk: TiInSeN2 after structural relaxation (PBE-GGA).

Results
Calculated density: 4.8 g/cm³
Symmetry: No. 123
E_tot: -4.874 eV/atom

```
TiInSeN2
1.0
4.097 0.000 0.000
0.000 4.097 0.000
0.000 0.000 5.573
Ti In Se N
1 1 1 2
direct
0.000 0.000 0.000 Ti
0.500 0.500 0.500 In
0.500 0.500 0.000 Se
0.000 0.500 0.500 N
0.500 0.000 0.500 N
```


Entry 19:
Entry from Alexandria via LeMat-Bulk: La2UPaAs4 after structural relaxation (PBE-GGA).

Results
Calculated density: 8.1 g/cm³
Formation energy from the elements: -1.22 eV/atom
Symmetry: No. 10
E_tot: -7.370 eV/atom

```
La2UPaAs4
1.0
7.267 0.000 0.000
0.000 4.199 0.000
-2.429 0.000 7.005
La U Pa As
2 1 1 4
direct
0.000 0.000 0.000 La
0.500 0.500 0.000 La
0.000 0.500 0.500 U
0.500 0.000 0.500 Pa
0.245 0.000 0.731 As
0.257 0.500 0.269 As
0.743 0.500 0.731 As
0.755 0.000 0.269 As
```


Entry 20:
Entry from Alexandria via LeMat-Bulk: K4ZnP2 after structural relaxation (PBE-GGA).

Results
Polymorph energy (0 for the lowest one): 0.096 eV/atom
Calculated density: 1.7 g/cm³
Formation energy from the elements: -0.30 eV/atom
Symmetry: No. 11
E_tot: -2.660 eV/atom

```
K4ZnP2
1.0
6.280 0.000 0.000
0.000 10.613 0.000
-1.103 0.000 8.400
K Zn P
8 2 4
direct
0.033 0.049 0.227 K
0.033 0.451 0.227 K
0.336 0.250 0.581 K
0.445 0.750 0.949 K
0.555 0.250 0.051 K
0.664 0.750 0.419 K
0.967 0.549 0.773 K
0.967 0.951 0.773 K
0.131 0.750 0.324 Zn
0.869 0.250 0.676 Zn
0.040 0.250 0.923 P
0.234 0.750 0.583 P
0.766 0.250 0.417 P
0.960 0.750 0.077 P
```


Entry 21:
Entry from Alexandria via LeMat-Bulk: BeFe6W after structural relaxation (PBE-GGA).

Results
Calculated density: 9.5 g/cm³
Formation energy from the elements: 0.02 eV/atom
Symmetry: No. 65
E_tot: -8.408 eV/atom

```
BeFe6W
1.0
2.981 -5.590 0.000
2.981 5.590 0.000
0.000 0.000 11.029
Be Fe W
4 24 4
direct
0.000 0.000 0.239 Be
0.000 0.000 0.761 Be
0.254 0.746 0.000 Be
0.746 0.254 0.000 Be
0.000 0.000 0.000 Fe
0.000 0.000 0.500 Fe
0.114 0.372 0.117 Fe
0.114 0.372 0.883 Fe
0.119 0.363 0.369 Fe
0.119 0.363 0.631 Fe
0.248 0.752 0.242 Fe
0.248 0.752 0.758 Fe
0.363 0.119 0.369 Fe
0.363 0.119 0.631 Fe
0.372 0.114 0.117 Fe
0.372 0.114 0.883 Fe
0.500 0.500 0.000 Fe
0.500 0.500 0.500 Fe
0.628 0.886 0.117 Fe
0.628 0.886 0.883 Fe
0.637 0.881 0.369 Fe
0.637 0.881 0.631 Fe
0.752 0.248 0.242 Fe
0.752 0.248 0.758 Fe
0.881 0.637 0.369 Fe
0.881 0.637 0.631 Fe
0.886 0.628 0.117 Fe
0.886 0.628 0.883 Fe
0.256 0.744 0.500 W
0.500 0.500 0.243 W
0.500 0.500 0.757 W
0.744 0.256 0.500 W
```


Entry 22:
Entry from Alexandria via LeMat-Bulk: Pm3NdGa2 after structural relaxation (PBE-GGA).

Results
Polymorph energy (0 for the lowest one): 0.053 eV/atom
Calculated density: 6.9 g/cm³
Formation energy from the elements: -0.34 eV/atom
Symmetry: No. 12
E_tot: -4.521 eV/atom

```
Pm3NdGa2
1.0
8.854 -2.317 0.000
8.854 2.317 0.000
-3.655 0.000 8.417
Pm Nd Ga
6 2 4
direct
0.047 0.047 0.190 Pm
0.320 0.320 0.568 Pm
0.352 0.352 0.024 Pm
0.648 0.648 0.976 Pm
0.680 0.680 0.432 Pm
0.953 0.953 0.810 Pm
0.118 0.118 0.645 Nd
0.882 0.882 0.355 Nd
0.230 0.230 0.208 Ga
0.499 0.499 0.358 Ga
0.501 0.501 0.642 Ga
0.770 0.770 0.792 Ga
```